Li6CaSn6 GGA-PBE optimized geometry; E above lowest polymorph = 2.6 meV/atom; DFT formation energy = -4.681 eV/f.u.; crystal system = hexagonal
1.0
5.8149 0.0000 0.0000
-2.9075 5.0359 0.0000
0.0000 0.0000 9.5032
Li Ca Sn
6 1 6
Direct
0.0000 0.5000 0.2483
0.0000 0.5000 0.7517
0.5000 0.0000 0.2483
0.5000 0.0000 0.7517
0.5000 0.5000 0.2483
0.5000 0.5000 0.7517
0.0000 0.0000 0.0000
0.0000 0.0000 0.3502
0.0000 0.0000 0.6498
0.3333 0.6667 0.0000
0.3333 0.6667 0.5000
0.6667 0.3333 0.0000
0.6667 0.3333 0.5000

LaCo2As GGA-PBE optimized geometry; DFT formation energy = 0.246 eV/f.u.; crystal system = orthorhombic
1.0
0.0000 3.0464 4.0578
2.9883 0.0000 4.0578
2.9883 3.0464 0.0000
La Co As
1 2 1
Direct
0.0000 0.0000 0.0000
0.0000 0.5000 0.5000
0.5000 0.0000 0.0000
0.5000 0.5000 0.5000

Which of these has the highest DFT formation energy? LaCo2As

Among the records above, which one has the highest DFT formation energy? LaCo2As

Copy entry 1 word for word.
Li6CaSn6 GGA-PBE optimized geometry; E above lowest polymorph = 2.6 meV/atom; DFT formation energy = -4.681 eV/f.u.; crystal system = hexagonal
1.0
5.8149 0.0000 0.0000
-2.9075 5.0359 0.0000
0.0000 0.0000 9.5032
Li Ca Sn
6 1 6
Direct
0.0000 0.5000 0.2483
0.0000 0.5000 0.7517
0.5000 0.0000 0.2483
0.5000 0.0000 0.7517
0.5000 0.5000 0.2483
0.5000 0.5000 0.7517
0.0000 0.0000 0.0000
0.0000 0.0000 0.3502
0.0000 0.0000 0.6498
0.3333 0.6667 0.0000
0.3333 0.6667 0.5000
0.6667 0.3333 0.0000
0.6667 0.3333 0.5000